Entry 1:
# Dy7Zn2Co2 | Alexandria via LeMat-Bulk | PBE | optimized geometry
data_Dy7Zn2Co2
_chemical_formula_sum 'Dy14 Zn4 Co4'
_cell_length_a 7.5132
_cell_length_b 10.8312
_cell_length_c 6.8941
_cell_angle_alpha 90.00
_cell_angle_beta 90.00
_cell_angle_gamma 90.00
_symmetry_space_group_name_H-M 'C m m m'
_symmetry_Int_Tables_number 65
_symmetry_space_group_name_Hall '-C 2 2'
loop_
_atom_site_label
_atom_site_type_symbol
_atom_site_fract_x
_atom_site_fract_y
_atom_site_fract_z
Dy1 Dy 0.0000 0.0000 0.0000
Dy2 Dy 0.0000 0.5000 0.2444
Dy3 Dy 0.2500 0.2500 0.2525
Zn1 Zn 0.1681 0.0000 0.5000
Co1 Co 0.0000 0.2957 0.0000
# **Total magnetization**: 0.000 Bohr magnetons per cell
# **ΔH_f (0 K)**: -107 meV/atom



Entry 2:
# DyZn2Co | Alexandria via LeMat-Bulk | PBE | optimized geometry
data_DyZn2Co
_chemical_formula_sum 'Dy8 Zn16 Co8'
_cell_length_a 14.5197
_cell_length_b 7.2359
_cell_length_c 5.1670
_cell_angle_alpha 90.00
_cell_angle_beta 90.00
_cell_angle_gamma 90.00
_symmetry_space_group_name_H-M 'P n m a'
_symmetry_Int_Tables_number 62
loop_
_symmetry_equiv_pos_as_xyz
'x,y,z'
'-x,-y,-z'
'-x+1/2,-y,z+1/2'
'x+1/2,y,-z+1/2'
'x+1/2,-y+1/2,-z+1/2'
'-x+1/2,y+1/2,z+1/2'
'-x,y+1/2,-z'
'x,-y+1/2,z'
loop_
_atom_site_label
_atom_site_type_symbol
_atom_site_fract_x
_atom_site_fract_y
_atom_site_fract_z
Dy1 Dy 0.1029 0.2500 0.2408
Dy2 Dy 0.1389 0.7500 0.4539
Zn1 Zn 0.0406 0.0581 0.7557
Zn2 Zn 0.2107 0.5502 0.9382
Co1 Co 0.0711 0.7500 0.9808
Co2 Co 0.1890 0.2500 0.7049
# **Total magnetization**: 0.001 Bohr magnetons per cell
# **ΔH_f (0 K)**: -281 meV/atom